1.
PBE BaPaRh2O8, optimized geometry; formation energy without anion corrections = -1.326 eV/atom; total DFT energy (no corrections) = -81.70 eV per cell
1.0
5.6277 0.0000 0.0000
-2.8139 4.8737 0.0000
0.0000 0.0000 7.0551
Ba Pa Rh O
1 1 2 8
Direct
0.0000 0.0000 0.5000
0.0000 0.0000 0.0000
0.6667 0.3333 0.0607
0.3333 0.6667 0.9393
0.9336 0.6256 0.8646
0.3744 0.3080 0.8646
0.6920 0.0664 0.8646
0.0664 0.3744 0.1354
0.6256 0.6920 0.1354
0.3080 0.9336 0.1354
0.6667 0.3333 0.3270
0.3333 0.6667 0.6730

=====

2.
PBE Tb8NdSc2, optimized geometry; distance to the lowest polymorph of the same formula = 0.045 eV/atom; calculated formation energy = 168.5 meV per atom; total DFT energy (no corrections) = -52.62 eV per cell
1.0
5.5767 1.6009 0.0000
2.5613 8.5021 0.0000
1.2807 4.2511 7.9638
Tb Nd Sc
8 1 2
Direct
0.8255 0.0978 0.2415
0.8255 0.3393 0.7585
0.2920 0.4272 0.0000
0.5000 0.7915 0.4170
0.5000 0.2085 0.5830
0.7080 0.5728 0.0000
0.1745 0.6607 0.2415
0.1745 0.9022 0.7585
0.5000 0.0000 0.0000
0.0000 0.3095 0.3810
0.0000 0.6905 0.6190

=====

- What is the formula in the first record?
  BaPaRh2O8